(1)
Here is a relaxed structure of ZrHg from the Alexandria database. Energies are from PBE.

Unit cell a=4.937 b=5.438 c=11.554 alpha=90.00 beta=90.00 gamma=90.00
Atoms (fractional coordinates):
Zr 0.500 0.432 0.500
Zr 0.500 0.819 0.869
Hg 0.500 0.275 0.000
Zr 0.000 0.181 0.369
Hg 0.000 0.675 0.749
Hg 0.500 0.325 0.751
Zr 0.000 0.181 0.631
Zr 0.500 0.819 0.131
Hg 0.500 0.325 0.249
Hg 0.000 0.675 0.251
Zr 0.000 0.568 0.000
Hg 0.000 0.725 0.500

Output
calculated formation energy	5.3	kcal/mol of atoms

---

(2)
Here is a relaxed structure of Zr2Hg from the Alexandria database. Energies are from PBE.

Unit cell a=6.791 b=6.791 c=6.791 alpha=90.00 beta=90.00 gamma=90.00
Site moments in Bohr magnetons follow the coordinates.
Atoms (fractional coordinates):
Zr 0.633 0.633 0.633  0.28
Zr 0.367 0.367 0.367  0.28
Hg 0.500 0.500 0.000  0.02
Zr 0.867 0.133 0.633  0.28
Hg 0.000 0.000 0.000  0.02
Hg 0.500 0.000 0.500  0.02
Hg 0.000 0.500 0.500  0.02
Zr 0.867 0.367 0.133  0.28
Zr 0.367 0.133 0.867  0.28
Zr 0.133 0.867 0.367  0.28
Zr 0.633 0.867 0.133  0.28
Zr 0.133 0.633 0.867  0.28

Output
calculated formation energy	11.6	kcal/mol of atoms

---

(3)
Here is a relaxed structure of Zr3Hg5 from the Alexandria database. Energies are from PBE.

Unit cell a=8.650 b=8.650 c=5.774 alpha=90.00 beta=90.00 gamma=60.00
Site moments in Bohr magnetons follow the coordinates.
Atoms (fractional coordinates):
Zr 0.000 0.595 0.750  0.20
Hg 0.667 0.667 0.000  0.01
Hg 0.765 0.000 0.750  0.01
Hg 0.667 0.667 0.500  0.01
Zr 0.595 0.405 0.750  0.20
Hg 0.333 0.333 0.500  0.01
Zr 0.405 0.000 0.750  0.20
Hg 0.765 0.235 0.250  0.01
Hg 0.235 0.000 0.250  0.01
Hg 0.000 0.235 0.750  0.01
Zr 0.595 0.000 0.250  0.20
Hg 0.235 0.765 0.750  0.01
Hg 0.000 0.765 0.250  0.01
Zr 0.000 0.405 0.250  0.20
Hg 0.333 0.333 0.000  0.01
Zr 0.405 0.595 0.250  0.20

Output
calculated formation energy	1.8	kcal/mol of atoms
distance to the lowest polymorph of the same formula	0.170	eV per atom

---

> Which value of calculated formation energy does entry 2 give?

11.6 kcal/mol of atoms